DFT (PBE) results for a relaxed ZnP2PbCl crystal.

Cell and atoms, written as CIF:
```
data_ZnP2PbCl
_chemical_formula_sum 'Zn1 P2 Pb1 Cl1'
_symmetry_space_group_name_H-M 'P 4/m m m'
_symmetry_Int_Tables_number 123
_symmetry_space_group_name_Hall '-P 4 2'
_cell_length_a 4.798
_cell_length_b 4.798
_cell_length_c 5.606
_cell_angle_alpha 90.00
_cell_angle_beta 90.00
_cell_angle_gamma 90.00
loop_
_atom_site_label
_atom_site_fract_x
_atom_site_fract_y
_atom_site_fract_z
Zn1 0.000 0.000 0.000
P1 0.000 0.500 0.000
Pb1 0.500 0.500 0.500
Cl1 0.000 0.000 0.500
```

## Properties
Uncorrected formation energy: 309 meV per atom
Theoretical density: 4.76 Mg/m³
DFT total energy: -3.2207 eV/atom
Distance to the lowest polymorph of the same formula: 0.0 meV/atom

DFT (PBE) results for a relaxed ZnPPbCl2 crystal.

Cell and atoms, written as CIF:
```
data_ZnPPbCl2
_chemical_formula_sum 'Zn1 P1 Pb1 Cl2'
_symmetry_space_group_name_H-M 'P 4/m m m'
_symmetry_Int_Tables_number 123
_symmetry_space_group_name_Hall '-P 4 2'
_cell_length_a 5.032
_cell_length_b 5.032
_cell_length_c 5.166
_cell_angle_alpha 90.00
_cell_angle_beta 90.00
_cell_angle_gamma 90.00
loop_
_atom_site_label
_atom_site_fract_x
_atom_site_fract_y
_atom_site_fract_z
Zn1 0.000 0.000 0.000
P1 0.000 0.000 0.500
Pb1 0.500 0.500 0.500
Cl1 0.000 0.500 0.000
```

## Properties
Uncorrected formation energy: -167 meV per atom
Theoretical density: 4.75 Mg/m³
DFT total energy: -2.9843 eV/atom
Distance to the lowest polymorph of the same formula: 0.0 meV/atom

DFT (PBE) results for a relaxed ZrP2PbCl crystal.

Cell and atoms, written as CIF:
```
data_ZrP2PbCl
_chemical_formula_sum 'Zr1 P2 Pb1 Cl1'
_symmetry_space_group_name_H-M 'P 4/m m m'
_symmetry_Int_Tables_number 123
_symmetry_space_group_name_Hall '-P 4 2'
_cell_length_a 5.100
_cell_length_b 5.100
_cell_length_c 4.997
_cell_angle_alpha 90.00
_cell_angle_beta 90.00
_cell_angle_gamma 90.00
loop_
_atom_site_label
_atom_site_fract_x
_atom_site_fract_y
_atom_site_fract_z
Zr1 0.000 0.000 0.000
P1 0.000 0.500 0.000
Pb1 0.500 0.500 0.500
Cl1 0.000 0.000 0.500
```

## Properties
Uncorrected formation energy: -324 meV per atom
Theoretical density: 5.06 Mg/m³
DFT total energy: -5.3082 eV/atom
Distance to the lowest polymorph of the same formula: 0.0 meV/atom

DFT (PBE) results for a relaxed ZrP2PbCl crystal.

Cell and atoms, written as CIF:
```
data_ZrP2PbCl
_chemical_formula_sum 'Zr1 P2 Pb1 Cl1'
_symmetry_space_group_name_H-M 'P 4/m m m'
_symmetry_Int_Tables_number 123
_symmetry_space_group_name_Hall '-P 4 2'
_cell_length_a 5.174
_cell_length_b 5.174
_cell_length_c 5.151
_cell_angle_alpha 90.00
_cell_angle_beta 90.00
_cell_angle_gamma 90.00
loop_
_atom_site_label
_atom_site_fract_x
_atom_site_fract_y
_atom_site_fract_z
Zr1 0.000 0.000 0.000
P1 0.000 0.500 0.500
Pb1 0.500 0.500 0.500
Cl1 0.500 0.500 0.000
```

## Properties
Uncorrected formation energy: 833 meV per atom
Theoretical density: 4.77 Mg/m³
DFT total energy: -4.1512 eV/atom
Distance to the lowest polymorph of the same formula: 1157.0 meV/atom

DFT (PBE) results for a relaxed PPd2Cl crystal.

Cell and atoms, written as CIF:
```
data_PPd2Cl
_chemical_formula_sum 'P4 Pd8 Cl4'
_symmetry_space_group_name_H-M 'I -4 2 d'
_symmetry_Int_Tables_number 122
_symmetry_space_group_name_Hall 'I -4 2bw'
_cell_length_a 6.224
_cell_length_b 6.224
_cell_length_c 8.222
_cell_angle_alpha 90.00
_cell_angle_beta 90.00
_cell_angle_gamma 90.00
loop_
_atom_site_label
_atom_site_fract_x
_atom_site_fract_y
_atom_site_fract_z
P1 0.000 0.000 0.000
Pd1 0.202 0.750 0.125
Cl1 0.000 0.000 0.500
```

## Properties
Uncorrected formation energy: -231 meV per atom
Theoretical density: 5.82 Mg/m³
DFT total energy: -4.6417 eV/atom
Distance to the lowest polymorph of the same formula: 0.0 meV/atom

DFT (PBE) results for a relaxed PPd2Cl crystal.

Cell and atoms, written as CIF:
```
data_PPd2Cl
_chemical_formula_sum 'P4 Pd8 Cl4'
_symmetry_space_group_name_H-M 'F m -3 m'
_symmetry_Int_Tables_number 225
_symmetry_space_group_name_Hall '-F 4 2 3'
_cell_length_a 6.305
_cell_length_b 6.305
_cell_length_c 6.305
_cell_angle_alpha 90.00
_cell_angle_beta 90.00
_cell_angle_gamma 90.00
loop_
_atom_site_label
_atom_site_fract_x
_atom_site_fract_y
_atom_site_fract_z
P1 0.000 0.000 0.000
Pd1 0.250 0.250 0.250
Cl1 0.000 0.000 0.500
```

## Properties
Uncorrected formation energy: 106 meV per atom
Theoretical density: 7.40 Mg/m³
DFT total energy: -4.3042 eV/atom
Distance to the lowest polymorph of the same formula: 337.5 meV/atom

DFT (PBE) results for a relaxed PPd3Cl crystal.

Cell and atoms, written as CIF:
```
data_PPd3Cl
_chemical_formula_sum 'P1 Pd3 Cl1'
_symmetry_space_group_name_H-M 'P m -3 m'
_symmetry_Int_Tables_number 221
_symmetry_space_group_name_Hall '-P 4 2 3'
_cell_length_a 4.554
_cell_length_b 4.554
_cell_length_c 4.554
_cell_angle_alpha 90.00
_cell_angle_beta 90.00
_cell_angle_gamma 90.00
loop_
_atom_site_label
_atom_site_fract_x
_atom_site_fract_y
_atom_site_fract_z
P1 0.000 0.000 0.000
Pd1 0.000 0.000 0.500
Cl1 0.500 0.500 0.500
```

## Properties
Uncorrected formation energy: -4 meV per atom
Theoretical density: 6.78 Mg/m³
DFT total energy: -4.5709 eV/atom
Distance to the lowest polymorph of the same formula: 0.0 meV/atom

DFT (PBE) results for a relaxed P2PdCl crystal.

Cell and atoms, written as CIF:
```
data_P2PdCl
_chemical_formula_sum 'P8 Pd4 Cl4'
_symmetry_space_group_name_H-M 'F m -3 m'
_symmetry_Int_Tables_number 225
_symmetry_space_group_name_Hall '-F 4 2 3'
_cell_length_a 6.313
_cell_length_b 6.313
_cell_length_c 6.313
_cell_angle_alpha 90.00
_cell_angle_beta 90.00
_cell_angle_gamma 90.00
loop_
_atom_site_label
_atom_site_fract_x
_atom_site_fract_y
_atom_site_fract_z
P1 0.250 0.250 0.250
Pd1 0.000 0.000 0.000
Cl1 0.000 0.000 0.500
```

## Properties
Uncorrected formation energy: 589 meV per atom
Theoretical density: 5.38 Mg/m³
DFT total energy: -3.8754 eV/atom
Distance to the lowest polymorph of the same formula: 276.7 meV/atom

DFT (PBE) results for a relaxed P2PdCl crystal.

Cell and atoms, written as CIF:
```
data_P2PdCl
_chemical_formula_sum 'P8 Pd4 Cl4'
_symmetry_space_group_name_H-M 'I -4 2 d'
_symmetry_Int_Tables_number 122
_symmetry_space_group_name_Hall 'I -4 2bw'
_cell_length_a 5.964
_cell_length_b 5.964
_cell_length_c 10.500
_cell_angle_alpha 90.00
_cell_angle_beta 90.00
_cell_angle_gamma 90.00
loop_
_atom_site_label
_atom_site_fract_x
_atom_site_fract_y
_atom_site_fract_z
P1 0.184 0.250 0.125
Pd1 0.000 0.000 0.000
Cl1 0.000 0.000 0.500
```

## Properties
Uncorrected formation energy: 313 meV per atom
Theoretical density: 3.63 Mg/m³
DFT total energy: -4.1521 eV/atom
Distance to the lowest polymorph of the same formula: 0.0 meV/atom

DFT (PBE) results for a relaxed PPd2PtCl crystal.

Cell and atoms, written as CIF:
```
data_PPd2PtCl
_chemical_formula_sum 'P1 Pd2 Pt1 Cl1'
_symmetry_space_group_name_H-M 'P 4/m m m'
_symmetry_Int_Tables_number 123
_symmetry_space_group_name_Hall '-P 4 2'
_cell_length_a 5.064
_cell_length_b 5.064
_cell_length_c 4.409
_cell_angle_alpha 90.00
_cell_angle_beta 90.00
_cell_angle_gamma 90.00
loop_
_atom_site_label
_atom_site_fract_x
_atom_site_fract_y
_atom_site_fract_z
P1 0.000 0.000 0.000
Pd1 0.000 0.500 0.500
Pt1 0.500 0.500 0.500
Cl1 0.500 0.500 0.000
```

## Properties
Uncorrected formation energy: 1058 meV per atom
Theoretical density: 6.97 Mg/m³
DFT total energy: -3.6782 eV/atom